Compound: VTcNi
Source: Alexandria via LeMat-Bulk
Functional: PBE
Structure: relaxed

CIF file:
```
data_VTcNi
_symmetry_space_group_name_H-M 'P 1'
_symmetry_Int_Tables_number 1
_cell_length_a 4.997
_cell_length_b 5.354
_cell_length_c 4.997
_cell_angle_alpha 54.83
_cell_angle_beta 103.56
_cell_angle_gamma 125.17
loop_
_symmetry_equiv_pos_as_xyz
'x,y,z'
loop_
_atom_site_label
_atom_site_fract_x
_atom_site_fract_y
_atom_site_fract_z
Tc1 0.783 0.000 0.217
Tc2 0.283 0.000 0.717
Ni1 0.783 0.500 0.217
Ni2 0.283 0.500 0.717
V1 0.282 0.000 0.218
V2 0.782 0.000 0.718
```

## Properties
- Total energy: -47.5 eV per cell
- SG: Pmmm (47)
- N(E_F): 0.992 states/eV per atom
- E above lowest polymorph: 569.6 meV/atom
- Total moment: 0.0 Bohr magnetons per cell
- E_form: 497 meV/atom
- Calculated density: 7.80 Mg/m³